Record 1
Entry from Alexandria: a geometry-optimized SmLuSnPd structure (PBE-GGA).

Its electronic total energy is -5.3223 eV/atom.

Cell: 5.163 5.163 5.163 Å, 60.00 60.00 60.00°
Atoms (fractional coordinates):
Sn 0.000 0.000 0.000
Lu 0.250 0.250 0.250
Pd 0.500 0.500 0.500
Sm 0.750 0.750 0.750

---

Record 2
Entry from Alexandria: a geometry-optimized SmLuTlPd structure (PBE-GGA).

Its electronic total energy is -4.7247 eV/atom.

Cell: 5.181 5.181 5.181 Å, 60.00 60.00 60.00°
Atoms (fractional coordinates):
Tl 0.000 0.000 0.000
Sm 0.750 0.750 0.750
Lu 0.250 0.250 0.250
Pd 0.500 0.500 0.500

---

Record 3
Entry from Alexandria: a geometry-optimized LuSnPd2 structure (PBE-GGA).

Its electronic total energy is -5.6211 eV/atom.

Cell: 4.744 4.748 4.748 Å, 59.93 60.03 60.03°
Atoms (fractional coordinates):
Sn 0.250 0.250 0.250
Pd 0.500 0.500 0.500
Pd 0.000 0.000 0.000
Lu 0.750 0.750 0.750

---

| no. | formation energy from the elements (eV/f.u.) |
| --- | --- |
| 1 | -2.9 |
| 2 | -2.1 |
| 3 | -3.6 |